[1]
VASP calculation (GGA-PBE) on crystalline LiEuScPd at its relaxed geometry.

Output
Electronic total energy ... -6.20 eV/atom
Spin magnetization ... 1.79 μB/atom
SG ... F-43m, No. 216
Formation enthalpy at 0 K ... -0.2758 eV per atom

The structure in POSCAR format:
```
LiEuScPd
1.0
-2.387 1.401 4.137
2.319 -0.199 4.399
1.300 4.207 2.320
Pd Eu Li Sc
1 1 1 1
direct
0.250 0.250 0.250
0.500 0.500 0.500
0.750 0.750 0.750
0.000 0.000 0.000
```

=====

[2]
VASP calculation (GGA-PBE) on crystalline SrLiEuPd at its relaxed geometry.

Output
Electronic total energy ... -5.04 eV/atom
Spin magnetization ... 1.89 μB/atom
SG ... F-43m, No. 216
Formation enthalpy at 0 K ... -0.2738 eV per atom

The structure in POSCAR format:
```
SrLiEuPd
1.0
5.366 0.000 0.000
2.683 4.647 0.000
2.683 1.549 4.381
Pd Li Sr Eu
1 1 1 1
direct
0.500 0.500 0.500
0.000 0.000 0.000
0.250 0.250 0.250
0.750 0.750 0.750
```

=====

[3]
VASP calculation (GGA-PBE) on crystalline LiTbEuPd at its relaxed geometry.

Output
Electronic total energy ... -5.82 eV/atom
Spin magnetization ... 1.81 μB/atom
SG ... F-43m, No. 216
Formation enthalpy at 0 K ... -0.3185 eV per atom

The structure in POSCAR format:
```
LiTbEuPd
1.0
-2.024 -1.851 4.338
-2.521 -4.470 -0.048
2.063 -4.133 2.235
Eu Tb Pd Li
1 1 1 1
direct
0.500 0.500 0.500
0.000 0.000 0.000
0.750 0.750 0.750
0.250 0.250 0.250
```

=====

[4]
VASP calculation (GGA-PBE) on crystalline LiEuTlPd at its relaxed geometry.

Output
Electronic total energy ... -5.31 eV/atom
Spin magnetization ... 1.82 μB/atom
SG ... F-43m, No. 216
Formation enthalpy at 0 K ... -0.3778 eV per atom

The structure in POSCAR format:
```
LiEuTlPd
1.0
-4.920 0.204 -0.766
-3.108 -2.305 3.140
-2.889 2.673 3.056
Eu Tl Li Pd
1 1 1 1
direct
0.750 0.750 0.750
0.250 0.250 0.250
0.000 0.000 0.000
0.500 0.500 0.500
```

=====

Which value of formation enthalpy at 0 K does entry 4 give? -0.3778 eV per atom

=====

Among the records above, which one has the lowest formation enthalpy at 0 K? LiEuTlPd

=====

What is the electronic total energy in the fourth record? -5.31 eV/atom

=====

Look up the spin magnetization of the second one. 1.89 μB/atom